No. 1
The following is a DFT calculation (GGA-PBE) of a relaxed structure of Cs2CdSb2.

formation energy from raw total energies: -0.121 eV/atom
space group: P4/mbm (127)
DOS at the Fermi energy: 0.433 states/eV/atom
ΔE to the lowest computed polymorph: 220 meV/atom

Cell lengths 11.159, 11.159, 3.668 Å; angles 90.00, 90.00, 90.00 degrees
Fractional coordinates of all 10 atoms:
Cs 0.201 0.299 0.000
Cs 0.299 0.799 0.000
Cs 0.701 0.201 0.000
Cs 0.799 0.701 0.000
Cd 0.000 0.000 0.000
Cd 0.500 0.500 0.000
Sb 0.089 0.589 0.500
Sb 0.411 0.089 0.500
Sb 0.589 0.911 0.500
Sb 0.911 0.411 0.500


No. 2
The following is a DFT calculation (GGA-PBE) of a relaxed structure of Cs2Cd2Sb.

formation energy from raw total energies: -0.115 eV/atom
space group: I4/mmm (139)
DOS at the Fermi energy: 0.213 states/eV/atom
ΔE to the lowest computed polymorph: 27 meV/atom

Cell lengths 7.512, 7.512, 8.750 Å; angles 90.00, 90.00, 90.00 degrees
Fractional coordinates of all 10 atoms:
Cs 0.000 0.500 0.250
Cs 0.000 0.500 0.750
Cs 0.500 0.000 0.250
Cs 0.500 0.000 0.750
Cd 0.000 0.000 0.169
Cd 0.000 0.000 0.831
Cd 0.500 0.500 0.331
Cd 0.500 0.500 0.669
Sb 0.000 0.000 0.500
Sb 0.500 0.500 0.000


No. 3
The following is a DFT calculation (GGA-PBE) of a relaxed structure of CsCd2Sb2.

formation energy from raw total energies: -0.068 eV/atom
space group: P4/mbm (127)
DOS at the Fermi energy: 0.412 states/eV/atom
ΔE to the lowest computed polymorph: 212 meV/atom

Cell lengths 9.303, 9.303, 3.531 Å; angles 90.00, 90.00, 90.00 degrees
Fractional coordinates of all 10 atoms:
Cs 0.000 0.000 0.000
Cs 0.500 0.500 0.000
Cd 0.126 0.374 0.000
Cd 0.374 0.874 0.000
Cd 0.626 0.126 0.000
Cd 0.874 0.626 0.000
Sb 0.161 0.661 0.500
Sb 0.339 0.161 0.500
Sb 0.661 0.839 0.500
Sb 0.839 0.339 0.500


No. 4
The following is a DFT calculation (GGA-PBE) of a relaxed structure of Cs3Cd2Sb2.

formation energy from raw total energies: -0.312 eV/atom
space group: Pbcm (57)
DOS at the Fermi energy: 0.254 states/eV/atom

Cell lengths 7.454, 10.370, 15.785 Å; angles 90.00, 90.00, 90.00 degrees
Fractional coordinates of all 28 atoms:
Cs 0.106 0.137 0.108
Cs 0.106 0.137 0.392
Cs 0.106 0.363 0.608
Cs 0.106 0.363 0.892
Cs 0.320 0.714 0.750
Cs 0.320 0.786 0.250
Cs 0.680 0.214 0.750
Cs 0.680 0.286 0.250
Cs 0.894 0.637 0.108
Cs 0.894 0.637 0.392
Cs 0.894 0.863 0.608
Cs 0.894 0.863 0.892
Cd 0.387 0.024 0.584
Cd 0.387 0.024 0.916
Cd 0.387 0.476 0.084
Cd 0.387 0.476 0.416
Cd 0.613 0.524 0.584
Cd 0.613 0.524 0.916
Cd 0.613 0.976 0.084
Cd 0.613 0.976 0.416
Sb 0.212 0.067 0.750
Sb 0.212 0.433 0.250
Sb 0.404 0.750 0.000
Sb 0.404 0.750 0.500
Sb 0.596 0.250 0.000
Sb 0.596 0.250 0.500
Sb 0.788 0.567 0.750
Sb 0.788 0.933 0.250


No. 5
The following is a DFT calculation (GGA-PBE) of a relaxed structure of Cs2CdSb2.

formation energy from raw total energies: -0.272 eV/atom
space group: P4/mbm (127)
DOS at the Fermi energy: 0.155 states/eV/atom
ΔE to the lowest computed polymorph: 68 meV/atom

Cell lengths 7.940, 7.940, 6.365 Å; angles 90.00, 90.00, 90.00 degrees
Fractional coordinates of all 10 atoms:
Cs 0.170 0.330 0.000
Cs 0.330 0.830 0.000
Cs 0.670 0.170 0.000
Cs 0.830 0.670 0.000
Cd 0.000 0.000 0.500
Cd 0.500 0.500 0.500
Sb 0.132 0.632 0.500
Sb 0.368 0.132 0.500
Sb 0.632 0.868 0.500
Sb 0.868 0.368 0.500


No. 6
The following is a DFT calculation (GGA-PBE) of a relaxed structure of Cs3Cd4Sb4.

formation energy from raw total energies: -0.252 eV/atom
space group: Immm (71)
DOS at the Fermi energy: 0.422 states/eV/atom
ΔE to the lowest computed polymorph: 78 meV/atom

Cell lengths 9.749, 9.749, 9.749 Å; angles 143.71, 135.19, 58.96 degrees
Fractional coordinates of all 11 atoms:
Cs 0.000 0.000 0.000
Cs 0.380 0.880 0.500
Cs 0.620 0.120 0.500
Cd 0.029 0.332 0.697
Cd 0.365 0.668 0.697
Cd 0.635 0.332 0.303
Cd 0.971 0.668 0.303
Sb 0.221 0.221 0.000
Sb 0.308 0.500 0.808
Sb 0.692 0.500 0.192
Sb 0.779 0.779 0.000


No. 7
The following is a DFT calculation (GGA-PBE) of a relaxed structure of CsCd2Sb2.

formation energy from raw total energies: -0.255 eV/atom
space group: I4/mmm (139)
DOS at the Fermi energy: 0.462 states/eV/atom
ΔE to the lowest computed polymorph: 25 meV/atom

Cell lengths 4.606, 4.606, 16.716 Å; angles 90.00, 90.00, 90.00 degrees
Fractional coordinates of all 10 atoms:
Cs 0.000 0.000 0.000
Cs 0.500 0.500 0.500
Cd 0.000 0.500 0.250
Cd 0.000 0.500 0.750
Cd 0.500 0.000 0.250
Cd 0.500 0.000 0.750
Sb 0.000 0.000 0.361
Sb 0.000 0.000 0.639
Sb 0.500 0.500 0.139
Sb 0.500 0.500 0.861


No. 8
The following is a DFT calculation (GGA-PBE) of a relaxed structure of Cs2CdSbSe4.

formation energy from raw total energies: -0.691 eV/atom
space group: Fddd (70)
DOS at the Fermi energy: 0.594 states/eV/atom

Cell lengths 14.894, 13.259, 8.284 Å; angles 84.09, 62.32, 33.59 degrees
Fractional coordinates of all 16 atoms:
Cs 0.055 0.055 0.695
Cs 0.305 0.305 0.945
Cs 0.695 0.695 0.055
Cs 0.945 0.945 0.305
Cd 0.125 0.125 0.125
Cd 0.875 0.875 0.875
Sb 0.375 0.375 0.375
Sb 0.625 0.625 0.625
Se 0.026 0.334 0.428
Se 0.287 0.572 0.666
Se 0.334 0.026 0.713
Se 0.428 0.713 0.026
Se 0.572 0.287 0.974
Se 0.666 0.974 0.287
Se 0.713 0.428 0.334
Se 0.974 0.666 0.572